1.
First-principles (PBE) data for a geometry-optimized Ca2Mg structure, as listed in Alexandria.

Structure (extended XYZ):
```
6
Lattice="5.213 -4.045 0.000 5.213 4.045 0.000 -4.142 0.000 5.144" Properties=species:S:1:pos:R:3 pbc="T T T"
Ca 1.028 1.324 0.847
Ca 5.255 -1.324 4.297
Ca -1.043 -1.324 3.419
Ca 7.326 1.324 1.725
Mg 4.177 0.003 1.286
Mg 2.106 -0.003 3.858
```

Values from the calculation:
* magnetic moment: 0.0 μB per formula unit
* calculated formation energy: -0.035 eV/atom
* ρ: 1.6 Mg/m³
* space group: C2/c, No. 15

=====

2.
First-principles (PBE) data for a geometry-optimized RbNa8Hg2 structure, as listed in Alexandria.

Structure (extended XYZ):
```
11
Lattice="7.426 -3.534 0.000 7.426 3.534 0.000 -1.305 0.000 7.739" Properties=species:S:1:pos:R:3 pbc="T T T"
Rb 0.000 0.000 0.000
Na 4.881 1.784 4.074
Na 2.751 0.000 6.548
Na 8.665 1.784 3.664
Na 6.353 0.000 1.443
Na 7.193 0.000 6.295
Na 4.881 -1.784 4.074
Na 10.795 0.000 1.191
Na 8.665 -1.784 3.664
Hg 3.225 0.000 1.907
Hg 10.321 0.000 5.832
```

Values from the calculation:
* magnetic moment: 0.0 μB per formula unit
* calculated formation energy: -0.072 eV/atom
* ρ: 2.7 Mg/m³
* space group: C2/m, No. 12

=====

3.
First-principles (PBE) data for a geometry-optimized Zr5IrAu2 structure, as listed in Alexandria.

Structure (extended XYZ):
```
16
Lattice="6.845 0.000 0.000 0.000 11.104 0.000 0.000 0.000 4.454" Properties=species:S:1:pos:R:3 pbc="T T T"
Zr 0.000 0.000 0.000
Zr 0.964 3.128 0.000
Zr 1.305 6.408 2.227
Zr 2.117 0.856 2.227
Zr 2.458 8.680 0.000
Zr 3.422 5.552 0.000
Zr 4.387 2.424 0.000
Zr 4.727 10.248 2.227
Zr 5.540 4.696 2.227
Zr 5.880 7.976 0.000
Ir 0.000 5.552 0.000
Ir 3.422 0.000 0.000
Au 0.615 9.222 2.227
Au 2.808 3.670 2.227
Au 4.037 7.434 2.227
Au 6.230 1.882 2.227
```

Values from the calculation:
* magnetic moment: 0.1 μB per formula unit
* calculated formation energy: -0.475 eV/atom
* ρ: 10.2 Mg/m³
* space group: Pbam, No. 55

=====

What did the second record say?
First-principles (PBE) data for a geometry-optimized RbNa8Hg2 structure, as listed in Alexandria.

Structure (extended XYZ):
```
11
Lattice="7.426 -3.534 0.000 7.426 3.534 0.000 -1.305 0.000 7.739" Properties=species:S:1:pos:R:3 pbc="T T T"
Rb 0.000 0.000 0.000
Na 4.881 1.784 4.074
Na 2.751 0.000 6.548
Na 8.665 1.784 3.664
Na 6.353 0.000 1.443
Na 7.193 0.000 6.295
Na 4.881 -1.784 4.074
Na 10.795 0.000 1.191
Na 8.665 -1.784 3.664
Hg 3.225 0.000 1.907
Hg 10.321 0.000 5.832
```

Values from the calculation:
* magnetic moment: 0.0 μB per formula unit
* calculated formation energy: -0.072 eV/atom
* ρ: 2.7 Mg/m³
* space group: C2/m, No. 12

=====

Q: Which formula does entry 3 have?
A: Zr5IrAu2